Here is V3SI after structural relaxation from Alexandria via LeMat-Bulk. Energies are from PBE.

Results
- Total DFT energy (no corrections): -24.88 eV for the cell shown
- V: 136.4 Å³/cell
- Relative energy among the computed polymorphs: 1221.6 meV/atom
- Uncorrected formation energy: 1630 meV/atom

Unit cell a=5.1479 b=5.1479 c=5.1479 alpha=90.00 beta=90.00 gamma=90.00
Space group Pm-3m (No. 221)
Symmetry-distinct sites (fractional):
V (0.0000, 0.0000, 0.5000) x3
S (0.5000, 0.5000, 0.5000) x1
I (0.0000, 0.0000, 0.0000) x1